*w*
Material: Y2TmHg
Method: DFT, PBE
State: relaxed

Summary:
As for the volume: 120 Å³/f.u.

a = 3.6461 Å, b = 3.6461 Å, c = 31.2267 Å
α = 90.00°, β = 90.00°, γ = 120.00°
Space group R3m (No. 160, hexagonal axes)
Unique sites:
1 Y 0.0000 0.0000 0.0000 (multiplicity 3)
2 Y 0.0000 0.0000 0.1805 (multiplicity 3)
3 Tm 0.0000 0.0000 0.4235 (multiplicity 3)
4 Hg 0.0000 0.0000 0.5899 (multiplicity 3)

***

*x*
Material: Y2TmHg
Method: DFT, PBE
State: relaxed

Summary:
As for the volume: 115 Å³/f.u.

a = 3.596 Å, b = 3.596 Å, c = 8.903 Å
α = 90.00°, β = 90.00°, γ = 90.00°
Space group P4/mmm (No. 123)
Unique sites:
1 Y 0.000 0.000 0.225 (multiplicity 2)
2 Tm 0.500 0.500 0.500 (multiplicity 1)
3 Hg 0.500 0.500 0.000 (multiplicity 1)

***

Which of them is least stable? Easy: *w*.

***

*w*
Material: YTmHg4
Method: DFT, PBE
State: relaxed

Summary:
As for the volume: 147 Å³/f.u.

a = 11.880 Å, b = 3.592 Å, c = 7.250 Å
α = 90.00°, β = 107.85°, γ = 90.00°
Space group C2/m (No. 12)
Unique sites:
1 Y 0.000 0.000 0.000 (multiplicity 2)
2 Tm 0.000 0.000 0.500 (multiplicity 2)
3 Hg 0.166 0.500 0.338 (multiplicity 4)
4 Hg 0.168 0.500 0.830 (multiplicity 4)

***

*x*
Material: YTmHg4
Method: DFT, PBE
State: relaxed

Summary:
As for the volume: 147 Å³/f.u.

a = 5.176 Å, b = 3.910 Å, c = 14.518 Å
α = 90.00°, β = 90.00°, γ = 90.00°
Space group Amm2 (No. 38)
Unique sites:
1 Y 0.000 0.000 0.000 (multiplicity 2)
2 Tm 0.500 0.000 0.793 (multiplicity 2)
3 Hg 0.000 0.000 0.331 (multiplicity 2)
4 Hg 0.000 0.000 0.667 (multiplicity 2)
5 Hg 0.500 0.000 0.129 (multiplicity 2)
6 Hg 0.500 0.000 0.460 (multiplicity 2)

***

Which of them is least stable? Easy: *w*.

***

*w*
Material: YTm2Hg2
Method: DFT, PBE
State: relaxed

Summary:
As for the volume: 143 Å³/f.u.

a = 5.1035 Å, b = 5.1035 Å, c = 6.3363 Å
α = 90.00°, β = 90.00°, γ = 120.00°
Space group P-3m1 (No. 164)
Unique sites:
1 Y 0.0000 0.0000 0.0000 (multiplicity 1)
2 Tm 0.3333 0.6667 0.6603 (multiplicity 2)
3 Hg 0.3333 0.6667 0.1832 (multiplicity 2)

***

*x*
Material: YTm2Hg2
Method: DFT, PBE
State: relaxed

Summary:
As for the volume: 132 Å³/f.u.

a = 3.713 Å, b = 5.251 Å, c = 13.620 Å
α = 90.00°, β = 97.87°, γ = 90.00°
Space group P2_1/m (No. 11)
Unique sites:
1 Y 0.147 0.250 0.293 (multiplicity 2)
2 Tm 0.047 0.750 0.095 (multiplicity 2)
3 Tm 0.236 0.750 0.472 (multiplicity 2)
4 Hg 0.356 0.250 0.711 (multiplicity 2)
5 Hg 0.454 0.750 0.907 (multiplicity 2)

***

Which of them is least stable? Easy: *w*.

***

*w*
Material: YTmHg
Method: DFT, PBE
State: relaxed

Summary:
As for the volume: 83 Å³/f.u.

a = 5.1132 Å, b = 5.1132 Å, c = 3.6844 Å
α = 90.00°, β = 90.00°, γ = 120.00°
Space group P3m1 (No. 156)
Unique sites:
1 Y 0.0000 0.0000 0.0000 (multiplicity 1)
2 Tm 0.3333 0.6667 0.5307 (multiplicity 1)
3 Hg 0.6667 0.3333 0.3385 (multiplicity 1)

***

*x*
Material: YTmHg
Method: DFT, PBE
State: relaxed

Summary:
As for the volume: 82 Å³/f.u.

a = 7.118 Å, b = 5.044 Å, c = 9.135 Å
α = 90.00°, β = 90.00°, γ = 90.00°
Space group Pnma (No. 62)
Unique sites:
1 Y 0.017 0.250 0.193 (multiplicity 4)
2 Tm 0.166 0.250 0.574 (multiplicity 4)
3 Hg 0.243 0.250 0.898 (multiplicity 4)

***

*y*
Material: YTmHg
Method: DFT, PBE
State: relaxed

Summary:
As for the volume: 83 Å³/f.u.

a = 3.598 Å, b = 3.598 Å, c = 12.793 Å
α = 90.00°, β = 90.00°, γ = 90.00°
Space group I4mm (No. 107)
Unique sites:
1 Y 0.000 0.000 0.000 (multiplicity 2)
2 Tm 0.000 0.000 0.693 (multiplicity 2)
3 Hg 0.000 0.000 0.341 (multiplicity 2)

***

Which of them is least stable? Easy: *w*.

***

*w*
Material: YTmHg2
Method: DFT, PBE
State: relaxed

Summary:
As for the volume: 101 Å³/f.u.

a = 3.692 Å, b = 3.692 Å, c = 7.440 Å
α = 90.00°, β = 90.00°, γ = 90.00°
Space group P4/mmm (No. 123)
Unique sites:
1 Y 0.000 0.000 0.000 (multiplicity 1)
2 Tm 0.000 0.000 0.500 (multiplicity 1)
3 Hg 0.500 0.500 0.259 (multiplicity 2)

***

*x*
Material: YTmHg2
Method: DFT, PBE
State: relaxed

Summary:
As for the volume: 109 Å³/f.u.

a = 6.437 Å, b = 3.700 Å, c = 9.439 Å
α = 90.00°, β = 103.27°, γ = 90.00°
Space group Cm (No. 8)
Unique sites:
1 Y 0.000 0.000 0.000 (multiplicity 2)
2 Tm 0.333 0.500 0.501 (multiplicity 2)
3 Hg 0.247 0.000 0.745 (multiplicity 2)
4 Hg 0.418 0.000 0.255 (multiplicity 2)

***

Which of them is least stable? Easy: *x*.

***

*w*
Material: YTmHg6
Method: DFT, PBE
State: relaxed

Summary:
As for the volume: 190 Å³/f.u.

a = 5.019 Å, b = 6.602 Å, c = 11.498 Å
α = 90.00°, β = 90.00°, γ = 90.00°
Space group Amm2 (No. 38)
Unique sites:
1 Y 0.000 0.000 0.000 (multiplicity 2)
2 Tm 0.500 0.000 0.336 (multiplicity 2)
3 Hg 0.000 0.000 0.501 (multiplicity 2)
4 Hg 0.000 0.247 0.251 (multiplicity 4)
5 Hg 0.500 0.000 0.833 (multiplicity 2)
6 Hg 0.500 0.249 0.586 (multiplicity 4)

***

*x*
Material: YTmHg6
Method: DFT, PBE
State: relaxed

Summary:
As for the volume: 194 Å³/f.u.

a = 4.493 Å, b = 4.493 Å, c = 9.610 Å
α = 90.00°, β = 90.00°, γ = 90.00°
Space group P4/mmm (No. 123)
Unique sites:
1 Y 0.000 0.000 0.000 (multiplicity 1)
2 Tm 0.000 0.000 0.500 (multiplicity 1)
3 Hg 0.000 0.500 0.252 (multiplicity 4)
4 Hg 0.500 0.500 0.000 (multiplicity 1)
5 Hg 0.500 0.500 0.500 (multiplicity 1)

***

Which of them is least stable? Easy: *x*.

***

*w*
Material: YTm3Hg2
Method: DFT, PBE
State: relaxed

Summary:
As for the volume: 162 Å³/f.u.

a = 5.045 Å, b = 9.118 Å, c = 7.026 Å
α = 90.00°, β = 90.00°, γ = 90.00°
Space group Pmc2_1 (No. 26)
Unique sites:
1 Y 0.000 0.055 0.000 (multiplicity 2)
2 Tm 0.000 0.327 0.652 (multiplicity 2)
3 Tm 0.500 0.178 0.316 (multiplicity 2)
4 Tm 0.500 0.444 0.967 (multiplicity 2)
5 Hg 0.000 0.352 0.223 (multiplicity 2)
6 Hg 0.500 0.149 0.744 (multiplicity 2)

***

*x*
Material: YTm3Hg2
Method: DFT, PBE
State: relaxed

Summary:
As for the volume: 163 Å³/f.u.

a = 3.654 Å, b = 3.654 Å, c = 12.232 Å
α = 90.00°, β = 90.00°, γ = 90.00°
Space group P4/mmm (No. 123)
Unique sites:
1 Y 0.000 0.000 0.000 (multiplicity 1)
2 Tm 0.500 0.500 0.199 (multiplicity 2)
3 Tm 0.500 0.500 0.500 (multiplicity 1)
4 Hg 0.000 0.000 0.348 (multiplicity 2)

***

Which of them is least stable? Easy: *x*.

***

*w*
Material: YTmZnHg
Method: DFT, PBE
State: relaxed

Summary:
As for the volume: 95 Å³/f.u.

a = 3.592 Å, b = 3.592 Å, c = 7.370 Å
α = 90.00°, β = 90.00°, γ = 90.00°
Space group P4mm (No. 99)
Unique sites:
1 Y 0.000 0.000 0.000 (multiplicity 1)
2 Tm 0.000 0.000 0.469 (multiplicity 1)
3 Zn 0.500 0.500 0.242 (multiplicity 1)
4 Hg 0.500 0.500 0.726 (multiplicity 1)

***

*x*
Material: YTmZnHg
Method: DFT, PBE
State: relaxed

Summary:
As for the volume: 96 Å³/f.u.

a = 7.271 Å, b = 7.271 Å, c = 7.271 Å
α = 90.00°, β = 90.00°, γ = 90.00°
Space group F-43m (No. 216)
Unique sites:
1 Y 0.000 0.000 0.000 (multiplicity 4)
2 Tm 0.000 0.000 0.500 (multiplicity 4)
3 Zn 0.250 0.250 0.250 (multiplicity 4)
4 Hg 0.250 0.250 0.750 (multiplicity 4)

***

Which of them is least stable? Easy: *x*.

***

*w*
Material: Tm4Zn3Hg
Method: DFT, PBE
State: relaxed

Summary:
As for the volume: 181 Å³/f.u.

a = 5.012 Å, b = 5.012 Å, c = 7.194 Å
α = 90.00°, β = 90.00°, γ = 90.00°
Space group P4/mmm (No. 123)
Unique sites:
1 Tm 0.000 0.500 0.241 (multiplicity 4)
2 Zn 0.000 0.000 0.000 (multiplicity 1)
3 Zn 0.000 0.000 0.500 (multiplicity 1)
4 Zn 0.500 0.500 0.000 (multiplicity 1)
5 Hg 0.500 0.500 0.500 (multiplicity 1)

***

*x*
Material: Tm4Zn3Hg
Method: DFT, PBE
State: relaxed

Summary:
As for the volume: 186 Å³/f.u.

a = 3.681 Å, b = 4.530 Å, c = 11.163 Å
α = 90.00°, β = 90.00°, γ = 90.00°
Space group Pmm2 (No. 25)
Unique sites:
1 Tm 0.000 0.000 0.000 (multiplicity 1)
2 Tm 0.000 0.500 0.296 (multiplicity 1)
3 Tm 0.500 0.000 0.488 (multiplicity 1)
4 Tm 0.500 0.500 0.803 (multiplicity 1)
5 Zn 0.000 0.500 0.565 (multiplicity 1)
6 Zn 0.500 0.000 0.217 (multiplicity 1)
7 Zn 0.500 0.500 0.075 (multiplicity 1)
8 Hg 0.000 0.000 0.721 (multiplicity 1)

***

Which of them is least stable? Easy: *x*.

***

*w*
Material: Tm2Zn3Hg
Method: DFT, PBE
State: relaxed

Summary:
As for the volume: 123 Å³/f.u.

a = 6.868 Å, b = 9.110 Å, c = 15.778 Å
α = 90.00°, β = 90.00°, γ = 90.00°
Space group Fmmm (No. 69)
Unique sites:
1 Tm 0.250 0.000 0.000 (multiplicity 8)
2 Tm 0.250 0.250 0.250 (multiplicity 8)
3 Zn 0.000 0.000 0.161 (multiplicity 8)
4 Zn 0.000 0.243 0.081 (multiplicity 16)
5 Hg 0.000 0.000 0.334 (multiplicity 8)

***

*x*
Material: Tm2Zn3Hg
Method: DFT, PBE
State: relaxed

Summary:
As for the volume: 129 Å³/f.u.

a = 3.680 Å, b = 4.382 Å, c = 16.015 Å
α = 90.00°, β = 90.00°, γ = 90.00°
Space group Imm2 (No. 44)
Unique sites:
1 Tm 0.000 0.000 0.000 (multiplicity 2)
2 Tm 0.000 0.500 0.270 (multiplicity 2)
3 Zn 0.000 0.000 0.431 (multiplicity 2)
4 Zn 0.000 0.500 0.683 (multiplicity 2)
5 Zn 0.000 0.500 0.835 (multiplicity 2)
6 Hg 0.000 0.000 0.595 (multiplicity 2)

***

Which of them is least stable? Easy: *x*.

***

*w*
Material: TmZrHg4
Method: DFT, PBE
State: relaxed

Summary:
As for the volume: 138 Å³/f.u.

a = 3.499 Å, b = 5.149 Å, c = 7.849 Å
α = 90.00°, β = 102.98°, γ = 90.00°
Space group Pm (No. 6)
Unique sites:
1 Tm 0.000 0.000 0.000 (multiplicity 1)
2 Zr 0.781 0.500 0.562 (multiplicity 1)
3 Hg 0.117 0.500 0.235 (multiplicity 1)
4 Hg 0.333 0.000 0.661 (multiplicity 1)
5 Hg 0.447 0.500 0.896 (multiplicity 1)
6 Hg 0.668 0.000 0.336 (multiplicity 1)

***

*x*
Material: TmZrHg4
Method: DFT, PBE
State: relaxed

Summary:
As for the volume: 137 Å³/f.u.

a = 3.365 Å, b = 3.365 Å, c = 12.132 Å
α = 90.00°, β = 90.00°, γ = 90.00°
Space group P4/mmm (No. 123)
Unique sites:
1 Tm 0.000 0.000 0.000 (multiplicity 1)
2 Zr 0.500 0.500 0.500 (multiplicity 1)
3 Hg 0.000 0.000 0.340 (multiplicity 2)
4 Hg 0.500 0.500 0.168 (multiplicity 2)

***

Which of them is least stable? Easy: *w*.

***

*w*
Material: YVHg3
Method: DFT, PBE
State: relaxed

Summary:
As for the volume: 185 Å³/f.u.

a = 5.703 Å, b = 5.703 Å, c = 5.703 Å
α = 90.00°, β = 90.00°, γ = 90.00°
Space group Pm-3m (No. 221)
Unique sites:
1 Y 0.000 0.000 0.000 (multiplicity 1)
2 V 0.500 0.500 0.500 (multiplicity 1)
3 Hg 0.000 0.000 0.500 (multiplicity 3)

***

*x*
Material: YVHg3
Method: DFT, PBE
State: relaxed

Summary:
As for the volume: 134 Å³/f.u.

a = 5.121 Å, b = 5.121 Å, c = 5.121 Å
α = 90.00°, β = 90.00°, γ = 90.00°
Space group Pm-3m (No. 221)
Unique sites:
1 Y 0.000 0.000 0.000 (multiplicity 1)
2 V 0.500 0.500 0.500 (multiplicity 1)
3 Hg 0.000 0.500 0.500 (multiplicity 3)

***

Which of them is least stable? Easy: *w*.